No. 1
Below is an optimized crystal structure of InAgH2, with properties calculated at the GGA-PBE level.

Computed properties:
E above lowest polymorph: 171 meV/atom
ρ: 6.10 g/cm3
calculated volume: 15.3 Å³ per atom

a b c (Å): 5.5963 5.5963 5.5625
angles (deg): 59.80 59.80 90.00
With the nearest neighbours (Å) after each atom.
Fractional coordinates of all 8 atoms:
In (0.0000, 0.0000, 0.0000)  4 H 2.72
Ag (0.5000, 0.5000, 0.0000)  4 H 1.84
H (0.4962, 0.1250, 0.2500)  2 Ag 1.84
In (0.7500, 0.2500, 0.5000)  4 H 2.72
H (0.8750, 0.7462, 0.7500)  2 Ag 1.84
H (0.2538, 0.6250, 0.2500)  2 Ag 1.84
H (0.3750, 0.5038, 0.7500)  2 Ag 1.84
Ag (0.2500, 0.7500, 0.5000)  4 H 1.84

No. 2
Below is an optimized crystal structure of BPRhCS, with properties calculated at the GGA-PBE level.

Computed properties:
E above lowest polymorph: 0 meV/atom
ρ: 5.25 g/cm3
energy relative to the elements, uncorrected: -0.752 eV/f.u.
calculated volume: 11.9 Å³ per atom

a b c (Å): 2.9559 2.9106 13.8895
angles (deg): 90.00 90.00 90.00
With the nearest neighbours (Å) after each atom.
Fractional coordinates of all 10 atoms:
B (0.0000, 0.0000, 0.2160)  2 C 1.70
Rh (0.5000, 0.0000, 0.9498)  2 P 2.23, 2 S 2.50
Rh (0.5000, 0.5000, 0.4498)  2 P 2.23, 2 S 2.50
C (0.0000, 0.0000, 0.6533)  2 B 1.70, 2 P 1.86
P (0.5000, 0.0000, 0.5716)  2 C 1.86
P (0.5000, 0.5000, 0.0716)  2 C 1.86
S (0.5000, 0.0000, 0.3034)  2 B 1.91
C (0.0000, 0.5000, 0.1533)  2 B 1.70, 2 P 1.86
B (0.0000, 0.5000, 0.7160)  2 C 1.70
S (0.5000, 0.5000, 0.8034)  2 B 1.91

No. 3
Below is an optimized crystal structure of BeNbIr3, with properties calculated at the GGA-PBE level.

Computed properties:
E above lowest polymorph: 1890 meV/atom
ρ: 10.50 g/cm3
calculated formation energy: 1.82 eV per atom
calculated volume: 21.5 Å³ per atom

a b c (Å): 4.7518 4.7518 4.7518
angles (deg): 90.00 90.00 90.00
With the nearest neighbours (Å) after each atom.
Fractional coordinates of all 5 atoms:
Nb (0.0000, 0.0000, 0.0000)  6 Ir 2.38
Ir (0.5000, 0.0000, 0.0000)  2 Nb 2.38
Ir (0.0000, 0.0000, 0.5000)  2 Nb 2.38
Be (0.5000, 0.5000, 0.5000)  12 Ir 3.36
Ir (0.0000, 0.5000, 0.0000)  2 Nb 2.38

No. 4
Below is an optimized crystal structure of AgSI, with properties calculated at the GGA-PBE level.

Computed properties:
E above lowest polymorph: 123 meV/atom
ρ: 4.96 g/cm3
energy relative to the elements, uncorrected: 0.312 eV/f.u.
calculated volume: 29.8 Å³ per atom

a b c (Å): 4.3245 4.3304 11.0193
angles (deg): 91.09 90.68 119.93
With the nearest neighbours (Å) after each atom.
Fractional coordinates of all 6 atoms:
I (0.0000, 0.0000, 0.5000)  2 S 2.76
S (0.9986, 0.9969, 0.7501)  3 Ag 2.50, 2 I 2.75-2.76
Ag (0.6684, 0.3372, 0.2504)  3 S 2.50
S (0.0014, 0.0031, 0.2500)  3 Ag 2.50, 2 I 2.75-2.76
Ag (0.3316, 0.6628, 0.7496)  3 S 2.50
I (0.0000, 0.0000, 0.0000)  2 S 2.75

No. 5
Below is an optimized crystal structure of CaAlSiO5, with properties calculated at the GGA-PBE level.

Computed properties:
ρ: 3.19 g/cm3
energy relative to the elements, uncorrected: -21.865 eV/f.u.
calculated volume: 11.4 Å³ per atom

a b c (Å): 5.4172 5.4172 7.0420
angles (deg): 76.65 76.65 106.75
With the nearest neighbours (Å) after each atom.
Fractional coordinates of all 16 atoms:
O (0.9395, 0.0605, 0.7500)  2 Al 1.84
Ca (0.3254, 0.6746, 0.2500)  7 O 2.30-2.53
O (0.0605, 0.9395, 0.2500)  2 Al 1.84
O (0.3041, 0.8792, 0.8957)  1 Si 1.64
Ca (0.6746, 0.3254, 0.7500)  7 O 2.30-2.53
O (0.2424, 0.3651, 0.8920)  1 Si 1.66
O (0.1208, 0.6959, 0.6043)  1 Si 1.64
O (0.3651, 0.2424, 0.3920)  1 Si 1.66
O (0.7576, 0.6349, 0.1080)  1 Si 1.66
O (0.6959, 0.1208, 0.1043)  1 Si 1.64
Si (0.3166, 0.6834, 0.7500)  4 O 1.64-1.66
O (0.6349, 0.7576, 0.6080)  1 Si 1.66
Si (0.6834, 0.3166, 0.2500)  4 O 1.64-1.66
O (0.8792, 0.3041, 0.3957)  1 Si 1.64
Al (0.0000, 0.0000, 0.5000)  6 O 1.84-1.99
Al (0.0000, 0.0000, 0.0000)  6 O 1.84-1.99

No. 6
Below is an optimized crystal structure of Mg5ZnAg6, with properties calculated at the GGA-PBE level.

Computed properties:
ρ: 6.40 g/cm3
calculated formation energy: -0.21 eV per atom
calculated volume: 18.0 Å³ per atom

a b c (Å): 4.6987 8.1127 8.1127
angles (deg): 120.49 106.83 106.83
With the nearest neighbours (Å) after each atom.
Fractional coordinates of all 12 atoms:
Mg (0.5000, 0.5000, 0.5000)  8 Ag 2.83-2.90
Mg (0.5000, 0.1710, 0.8290)  8 Ag 2.84-2.89
Ag (0.2440, 0.4062, 0.0818)  1 Zn 2.79, 7 Mg 2.83-2.90
Mg (0.0000, 0.3339, 0.6661)  8 Ag 2.89-2.90
Mg (0.5000, 0.8290, 0.1710)  8 Ag 2.84-2.89
Ag (0.2440, 0.0818, 0.4062)  1 Zn 2.79, 7 Mg 2.83-2.90
Ag (0.2597, 0.7598, 0.7598)  2 Zn 2.83, 6 Mg 2.88-2.90, 1 Ag 3.14
Zn (0.0000, 0.0000, 0.0000)  8 Ag 2.79-2.83
Ag (0.7403, 0.2402, 0.2402)  2 Zn 2.83, 6 Mg 2.88-2.90, 1 Ag 3.14
Mg (0.0000, 0.6661, 0.3339)  8 Ag 2.89-2.90
Ag (0.7560, 0.9182, 0.5938)  1 Zn 2.79, 7 Mg 2.83-2.90
Ag (0.7560, 0.5938, 0.9182)  1 Zn 2.79, 7 Mg 2.83-2.90

No. 7
Below is an optimized crystal structure of Sr2LiP3Pt4, with properties calculated at the GGA-PBE level.

Computed properties:
ρ: 9.67 g/cm3
calculated formation energy: -0.87 eV per atom
calculated volume: 18.1 Å³ per atom

a b c (Å): 4.3111 4.3111 9.7488
angles (deg): 90.00 90.00 90.00
With the nearest neighbours (Å) after each atom.
Fractional coordinates of all 10 atoms:
Sr (0.0000, 0.5000, 0.7457)  2 Li 3.22, 6 P 3.22-3.28, 8 Pt 3.27-3.29
P (0.5000, 0.0000, 0.8702)  5 Pt 2.38-2.50
Pt (0.5000, 0.5000, 0.0000)  4 P 2.50
P (0.0000, 0.0000, 0.5000)  4 Pt 2.48
Pt (0.0000, 0.5000, 0.3744)  3 P 2.38-2.48, 2 Li 2.48
Sr (0.5000, 0.0000, 0.2543)  2 Li 3.22, 6 P 3.22-3.28, 8 Pt 3.27-3.29
Pt (0.0000, 0.0000, 0.0000)  4 P 2.50
Li (0.5000, 0.5000, 0.5000)  4 Pt 2.48
P (0.0000, 0.5000, 0.1298)  5 Pt 2.38-2.50
Pt (0.5000, 0.0000, 0.6256)  3 P 2.38-2.48, 2 Li 2.48

No. 8
Below is an optimized crystal structure of K2RbLaHg, with properties calculated at the GGA-PBE level.

Computed properties:
ρ: 3.84 g/cm3
calculated formation energy: 0.61 eV per atom
calculated volume: 43.5 Å³ per atom

a b c (Å): 5.9612 6.1221 5.9612
angles (deg): 90.00 90.00 90.00
With the nearest neighbours (Å) after each atom.
Fractional coordinates of all 5 atoms:
Hg (0.0000, 0.0000, 0.0000)  4 K 2.98, 2 Rb 3.06
La (0.5000, 0.5000, 0.5000)  4 Rb 4.22, 8 K 4.27
K (0.5000, 0.0000, 0.0000)  2 Hg 2.98
K (0.0000, 0.0000, 0.5000)  2 Hg 2.98
Rb (0.0000, 0.5000, 0.0000)  2 Hg 3.06

No. 9
Below is an optimized crystal structure of ZnReTe, with properties calculated at the GGA-PBE level.

Computed properties:
E above lowest polymorph: 13 meV/atom
ρ: 10.84 g/cm3
energy relative to the elements, uncorrected: 1.334 eV/f.u.
calculated volume: 19.4 Å³ per atom

a b c (Å): 3.2121 3.2121 6.5021
angles (deg): 90.00 90.00 120.00
With the nearest neighbours (Å) after each atom.
Fractional coordinates of all 3 atoms:
Zn (0.6667, 0.3333, 0.7038)  3 Re 2.68
Te (0.3333, 0.6667, 0.2947)  3 Re 2.66
Re (0.0000, 0.0000, 0.0015)  3 Te 2.66, 3 Zn 2.68

No. 10
Below is an optimized crystal structure of La2InSnRh, with properties calculated at the GGA-PBE level.

Computed properties:
ρ: 6.67 g/cm3
calculated formation energy: -0.62 eV per atom
calculated volume: 30.6 Å³ per atom

a b c (Å): 5.4535 5.4535 5.1452
angles (deg): 90.00 90.00 90.00
With the nearest neighbours (Å) after each atom.
Fractional coordinates of all 5 atoms:
Sn (0.5000, 0.5000, 0.5000)  8 La 3.75, 4 In 3.86
La (0.0000, 0.5000, 0.0000)  2 Rh 2.73
Rh (0.0000, 0.0000, 0.0000)  2 In 2.57, 4 La 2.73
La (0.5000, 0.0000, 0.0000)  2 Rh 2.73
In (0.0000, 0.0000, 0.5000)  2 Rh 2.57

No. 11
Below is an optimized crystal structure of Sm5GaAu4, with properties calculated at the GGA-PBE level.

Computed properties:
ρ: 10.81 g/cm3
calculated formation energy: -0.75 eV per atom
calculated volume: 24.7 Å³ per atom

a b c (Å): 3.6585 3.6585 18.4675
angles (deg): 90.00 90.00 90.00
With the nearest neighbours (Å) after each atom.
Fractional coordinates of all 10 atoms:
Sm (0.5000, 0.5000, 0.2996)  8 Au 3.19
Sm (0.5000, 0.5000, 0.9005)  4 Au 3.16, 4 Ga 3.17
Au (0.0000, 0.0000, 0.8019)  8 Sm 3.16-3.19
Sm (0.5000, 0.5000, 0.7004)  8 Au 3.19
Au (0.0000, 0.0000, 0.5993)  8 Sm 3.17-3.19
Ga (0.0000, 0.0000, 0.0000)  8 Sm 3.17
Au (0.0000, 0.0000, 0.4007)  8 Sm 3.17-3.19
Sm (0.5000, 0.5000, 0.0995)  4 Au 3.16, 4 Ga 3.17
Sm (0.5000, 0.5000, 0.5000)  8 Au 3.17
Au (0.0000, 0.0000, 0.1981)  8 Sm 3.16-3.19

No. 12
Below is an optimized crystal structure of Ho4Er2TmMg, with properties calculated at the GGA-PBE level.

Computed properties:
ρ: 8.25 g/cm3
calculated formation energy: 0.02 eV per atom
calculated volume: 29.9 Å³ per atom

a b c (Å): 4.9246 4.9332 11.0078
angles (deg): 63.35 90.00 90.00
With the nearest neighbours (Å) after each atom.
Fractional coordinates of all 8 atoms:
Tm (0.0000, 0.5000, 0.5000)  4 Er 3.49, 8 Ho 3.49
Mg (0.5000, 0.5000, 0.0000)  8 Ho 3.47-3.48, 4 Er 3.49
Ho (0.5000, 0.7503, 0.2489)  4 Er 3.47-3.49, 2 Mg 3.47-3.48, 4 Ho 3.48-3.49, 2 Tm 3.49
Er (0.5000, 0.0000, 0.5000)  4 Tm 3.49, 8 Ho 3.49
Ho (0.0000, 0.2506, 0.2489)  2 Mg 3.47, 4 Er 3.48-3.49, 4 Ho 3.48-3.49, 2 Tm 3.49
Er (0.0000, 0.0000, 0.0000)  8 Ho 3.47-3.48, 4 Mg 3.49
Ho (0.5000, 0.2497, 0.7511)  4 Er 3.47-3.49, 2 Mg 3.47-3.48, 4 Ho 3.48-3.49, 2 Tm 3.49
Ho (0.0000, 0.7494, 0.7511)  2 Mg 3.47, 4 Er 3.48-3.49, 4 Ho 3.48-3.49, 2 Tm 3.49